[1]
# PuSnAs2

Crystalline PuSnAs2 at its relaxed geometry (GGA-PBE, the Alexandria database).

Structure (CIF):
```
data_PuSnAs2
_space_group_name_H-M_alt 'P 4/m m m'
_space_group_IT_number 123
_space_group_name_Hall '-P 4 2'
_cell_length_a 4.7414
_cell_length_b 4.7414
_cell_length_c 3.8579
_cell_angle_alpha 90.00
_cell_angle_beta 90.00
_cell_angle_gamma 90.00
loop_
_atom_site_label
_atom_site_fract_x
_atom_site_fract_y
_atom_site_fract_z
Pu1 0.0000 0.0000 0.0000
Sn1 0.5000 0.5000 0.0000
As1 0.0000 0.5000 0.5000
```

Energy of formation in eV/atom: -0.4785
Crystal system: tetragonal



[2]
# Cu4SbSe

Crystalline Cu4SbSe at its relaxed geometry (GGA-PBE, the Alexandria database).

Structure (CIF):
```
data_Cu4SbSe
_space_group_name_H-M_alt 'F -4 3 m'
_space_group_IT_number 216
_space_group_name_Hall 'F -4 2 3'
_cell_length_a 7.2098
_cell_length_b 7.2098
_cell_length_c 7.2098
_cell_angle_alpha 90.00
_cell_angle_beta 90.00
_cell_angle_gamma 90.00
loop_
_atom_site_label
_atom_site_fract_x
_atom_site_fract_y
_atom_site_fract_z
Cu1 0.1248 0.1248 0.1248
Sb1 0.2500 0.2500 0.7500
Se1 0.0000 0.0000 0.5000
```

Crystal system: cubic
Raw formation energy in eV per atom: 0.18



[3]
# TlInGa2I8

Crystalline TlInGa2I8 at its relaxed geometry (GGA-PBE, the Alexandria database).

Structure (CIF):
```
data_TlInGa2I8
_space_group_name_H-M_alt 'I -4 m 2'
_space_group_IT_number 119
_space_group_name_Hall 'I -4 -2'
_cell_length_a 11.5154
_cell_length_b 11.5154
_cell_length_c 8.9746
_cell_angle_alpha 90.00
_cell_angle_beta 90.00
_cell_angle_gamma 90.00
loop_
_atom_site_label
_atom_site_fract_x
_atom_site_fract_y
_atom_site_fract_z
Tl1 0.0000 0.0000 0.0000
In1 0.0000 0.5000 0.7500
Ga1 0.0000 0.0000 0.5000
Ga2 0.0000 0.5000 0.2500
I1 0.0000 0.1806 0.6732
I2 0.0000 0.3214 0.0741
```

Crystal system: tetragonal
Raw formation energy in eV per atom: -0.52



[4]
# LuThCu4

Crystalline LuThCu4 at its relaxed geometry (GGA-PBE, the Alexandria database).

Structure (CIF):
```
data_LuThCu4
_space_group_name_H-M_alt 'F -4 3 m'
_space_group_IT_number 216
_space_group_name_Hall 'F -4 2 3'
_cell_length_a 7.4713
_cell_length_b 7.4713
_cell_length_c 7.4713
_cell_angle_alpha 90.00
_cell_angle_beta 90.00
_cell_angle_gamma 90.00
loop_
_atom_site_label
_atom_site_fract_x
_atom_site_fract_y
_atom_site_fract_z
Lu1 0.0000 0.0000 0.0000
Th1 0.2500 0.2500 0.7500
Cu1 0.1259 0.1259 0.3741
```

Energy of formation in eV/atom: -0.1228
Crystal system: cubic



Which formula does entry 3 have? TlInGa2I8



Which formula does entry 4 have? LuThCu4



What did the fourth record say?
# LuThCu4

Crystalline LuThCu4 at its relaxed geometry (GGA-PBE, the Alexandria database).

Structure (CIF):
```
data_LuThCu4
_space_group_name_H-M_alt 'F -4 3 m'
_space_group_IT_number 216
_space_group_name_Hall 'F -4 2 3'
_cell_length_a 7.4713
_cell_length_b 7.4713
_cell_length_c 7.4713
_cell_angle_alpha 90.00
_cell_angle_beta 90.00
_cell_angle_gamma 90.00
loop_
_atom_site_label
_atom_site_fract_x
_atom_site_fract_y
_atom_site_fract_z
Lu1 0.0000 0.0000 0.0000
Th1 0.2500 0.2500 0.7500
Cu1 0.1259 0.1259 0.3741
```

Energy of formation in eV/atom: -0.1228
Crystal system: cubic